No. 1
DFT (PBE-GGA) results for crystalline Te2PbBrF at its relaxed geometry.

Calculated values
Energy relative to the elements, uncorrected (kcal/mol of atoms): -4.81
Magnetic moment (μB/f.u.): 0.00

Geometry as CIF:
```
data_Te2PbBrF
_cell_length_a 4.839
_cell_length_b 4.839
_cell_length_c 7.687
_cell_angle_alpha 90.00
_cell_angle_beta 90.00
_cell_angle_gamma 90.00
_symmetry_space_group_name_H-M 'P 1'
_symmetry_Int_Tables_number 1
loop_
_symmetry_equiv_pos_as_xyz
'x,y,z'
loop_
_atom_site_label
_atom_site_type_symbol
_atom_site_fract_x
_atom_site_fract_y
_atom_site_fract_z
Te1 Te 0.000 0.500 0.000
Te2 Te 0.500 0.000 0.000
Pb1 Pb 0.000 0.000 0.500
Br1 Br 0.500 0.500 0.500
F1 F 0.000 0.000 0.000
```



No. 2
DFT (PBE-GGA) results for crystalline Cs2SbPb2 at its relaxed geometry.

Calculated values
Energy relative to the elements, uncorrected (kcal/mol of atoms): -3.04
Offset from the most stable computed form (eV per atom): 0.000
Magnetic moment (μB/f.u.): 0.00

Geometry as CIF:
```
data_Cs2SbPb2
_cell_length_a 7.977
_cell_length_b 7.977
_cell_length_c 9.584
_cell_angle_alpha 102.43
_cell_angle_beta 102.43
_cell_angle_gamma 114.83
_symmetry_space_group_name_H-M 'P 1'
_symmetry_Int_Tables_number 1
loop_
_symmetry_equiv_pos_as_xyz
'x,y,z'
loop_
_atom_site_label
_atom_site_type_symbol
_atom_site_fract_x
_atom_site_fract_y
_atom_site_fract_z
Cs1 Cs 0.077 0.417 0.284
Cs2 Cs 0.417 0.077 0.284
Cs3 Cs 0.583 0.923 0.716
Cs4 Cs 0.923 0.583 0.716
Sb1 Sb 0.363 0.637 0.000
Sb2 Sb 0.637 0.363 0.000
Pb1 Pb 0.190 0.190 0.935
Pb2 Pb 0.328 0.328 0.690
Pb3 Pb 0.672 0.672 0.310
Pb4 Pb 0.810 0.810 0.065
```



No. 3
DFT (PBE-GGA) results for crystalline NdSmNiAu at its relaxed geometry.

Calculated values
Energy of formation from the pure elements (meV per atom): -550
Magnetic moment (μB/f.u.): 0.00

Geometry as CIF:
```
data_NdSmNiAu
_cell_length_a 4.610
_cell_length_b 5.701
_cell_length_c 5.701
_cell_angle_alpha 40.12
_cell_angle_beta 90.00
_cell_angle_gamma 90.00
_symmetry_space_group_name_H-M 'P 1'
_symmetry_Int_Tables_number 1
loop_
_symmetry_equiv_pos_as_xyz
'x,y,z'
loop_
_atom_site_label
_atom_site_type_symbol
_atom_site_fract_x
_atom_site_fract_y
_atom_site_fract_z
Nd1 Nd 0.000 0.000 0.000
Sm1 Sm 0.500 0.279 0.279
Ni1 Ni 0.000 0.722 0.722
Au1 Au 0.500 0.565 0.565
```



No. 4
DFT (PBE-GGA) results for crystalline CaLaSc2 at its relaxed geometry.

Calculated values
Energy of formation from the pure elements (meV per atom): 151
Offset from the most stable computed form (eV per atom): 0.040
Magnetic moment (μB/f.u.): 0.00

Geometry as CIF:
```
data_CaLaSc2
_cell_length_a 11.628
_cell_length_b 11.628
_cell_length_c 11.628
_cell_angle_alpha 17.31
_cell_angle_beta 17.31
_cell_angle_gamma 17.31
_symmetry_space_group_name_H-M 'P 1'
_symmetry_Int_Tables_number 1
loop_
_symmetry_equiv_pos_as_xyz
'x,y,z'
loop_
_atom_site_label
_atom_site_type_symbol
_atom_site_fract_x
_atom_site_fract_y
_atom_site_fract_z
Ca1 Ca 0.000 0.000 0.000
La1 La 0.166 0.166 0.166
Sc1 Sc 0.580 0.580 0.580
Sc2 Sc 0.753 0.753 0.753
```



No. 5
DFT (PBE-GGA) results for crystalline PrTh at its relaxed geometry.

Calculated values
Energy of formation from the pure elements (meV per atom): 17
Offset from the most stable computed form (eV per atom): 0.000
Magnetic moment (μB/f.u.): 0.00

Geometry as CIF:
```
data_PrTh
_cell_length_a 12.100
_cell_length_b 12.100
_cell_length_c 12.100
_cell_angle_alpha 17.27
_cell_angle_beta 17.27
_cell_angle_gamma 17.27
_symmetry_space_group_name_H-M 'P 1'
_symmetry_Int_Tables_number 1
loop_
_symmetry_equiv_pos_as_xyz
'x,y,z'
loop_
_atom_site_label
_atom_site_type_symbol
_atom_site_fract_x
_atom_site_fract_y
_atom_site_fract_z
Pr1 Pr 0.121 0.121 0.121
Pr2 Pr 0.879 0.879 0.879
Th1 Th 0.294 0.294 0.294
Th2 Th 0.706 0.706 0.706
```



No. 6
DFT (PBE-GGA) results for crystalline Li2ScZn at its relaxed geometry.

Calculated values
Energy of formation from the pure elements (meV per atom): -52
Magnetic moment (μB/f.u.): 0.00

Geometry as CIF:
```
data_Li2ScZn
_cell_length_a 5.730
_cell_length_b 5.730
_cell_length_c 5.730
_cell_angle_alpha 148.00
_cell_angle_beta 130.28
_cell_angle_gamma 60.36
_symmetry_space_group_name_H-M 'P 1'
_symmetry_Int_Tables_number 1
loop_
_symmetry_equiv_pos_as_xyz
'x,y,z'
loop_
_atom_site_label
_atom_site_type_symbol
_atom_site_fract_x
_atom_site_fract_y
_atom_site_fract_z
Li1 Li 0.219 0.219 0.000
Li2 Li 0.781 0.781 0.000
Sc1 Sc 0.500 0.000 0.500
Zn1 Zn 0.000 0.500 0.500
```



No. 7
DFT (PBE-GGA) results for crystalline Pm5HoPb3 at its relaxed geometry.

Calculated values
Energy of formation from the pure elements (meV per atom): -406
Magnetic moment (μB/f.u.): 3.15

Geometry as CIF:
```
data_Pm5HoPb3
_cell_length_a 9.680
_cell_length_b 9.680
_cell_length_c 6.751
_cell_angle_alpha 90.00
_cell_angle_beta 90.00
_cell_angle_gamma 120.00
_symmetry_space_group_name_H-M 'P 1'
_symmetry_Int_Tables_number 1
loop_
_symmetry_equiv_pos_as_xyz
'x,y,z'
loop_
_atom_site_label
_atom_site_type_symbol
_atom_site_fract_x
_atom_site_fract_y
_atom_site_fract_z
Pm1 Pm 0.000 0.330 0.250
Pm2 Pm 0.000 0.670 0.750
Pm3 Pm 0.330 0.000 0.250
Pm4 Pm 0.330 0.330 0.750
Pm5 Pm 0.333 0.667 0.000
Pm6 Pm 0.333 0.667 0.500
Pm7 Pm 0.667 0.333 0.000
Pm8 Pm 0.667 0.333 0.500
Pm9 Pm 0.670 0.000 0.750
Pm10 Pm 0.670 0.670 0.250
Ho1 Ho 0.000 0.000 0.000
Ho2 Ho 0.000 0.000 0.500
Pb1 Pb 0.000 0.334 0.750
Pb2 Pb 0.000 0.666 0.250
Pb3 Pb 0.334 0.000 0.750
Pb4 Pb 0.334 0.334 0.250
Pb5 Pb 0.666 0.000 0.250
Pb6 Pb 0.666 0.666 0.750
```



No. 8
DFT (PBE-GGA) results for crystalline Mg6CuSi at its relaxed geometry.

Calculated values
Energy relative to the elements, uncorrected (kcal/mol of atoms): -0.25
Offset from the most stable computed form (eV per atom): 0.000
Magnetic moment (μB/f.u.): 0.00

Geometry as CIF:
```
data_Mg6CuSi
_cell_length_a 4.305
_cell_length_b 6.126
_cell_length_c 6.126
_cell_angle_alpha 78.43
_cell_angle_beta 90.00
_cell_angle_gamma 90.00
_symmetry_space_group_name_H-M 'P 1'
_symmetry_Int_Tables_number 1
loop_
_symmetry_equiv_pos_as_xyz
'x,y,z'
loop_
_atom_site_label
_atom_site_type_symbol
_atom_site_fract_x
_atom_site_fract_y
_atom_site_fract_z
Mg1 Mg 0.000 0.000 0.000
Mg2 Mg 0.000 0.066 0.469
Mg3 Mg 0.000 0.469 0.066
Mg4 Mg 0.500 0.294 0.712
Mg5 Mg 0.500 0.712 0.294
Mg6 Mg 0.500 0.774 0.774
Cu1 Cu 0.500 0.185 0.185
Si1 Si 0.000 0.576 0.576
```